# LaScMo2

A relaxed LaScMo2 crystal (PBE, the Alexandria database).

```
LaScMo2
1.0
1.519 0.877 10.286
-1.519 0.877 10.286
0.000 -1.754 10.286
La Sc Mo
1 1 2
direct
0.000 0.000 0.000
0.500 0.500 0.500
0.243 0.243 0.243
0.757 0.757 0.757
```

Properties
As for the excess energy over the best structure of this formula in the dataset: 0.549 eV per atom. For the magnetization, the calculation gives 0.002 μB per atom. The value obtained for the density of states at the Fermi level is 6.0 states/eV/cell. The space group is R-3m (166). The formation energy comes out at 0.666 eV per atom. As for the total energy: -7.565 eV per atom.